This record from Alexandria describes BeTcIr2 after structural relaxation. The functional is PBE.

The magnetization comes out at 0.00 μB/atom. The energy of formation from the pure elements is -0.18 eV/atom. For the density of states at the Fermi level, the calculation gives 0.86 states/eV per atom.

The structure belongs to space group P2/m (No. 10); the cell edges are 2.722, 3.930 and 5.100 Å and the angles 90.00°, 103.93° and 90.00°. The asymmetric unit holds Be at (0.000, 0.000, 0.000), Tc at (0.000, 0.000, 0.500) and Ir at (0.373, 0.500, 0.234).